No. 1
Here is a relaxed structure of YAuSe2 from Alexandria via LeMat-Bulk. Energies are from PBE.

uncorrected energy = -5.172 eV per atom
size of the total moment = 0.000 μB per atom
raw formation energy = -0.99 eV/atom
symmetry = P3m1 (156)
crystal system = trigonal
calculated density = 6.1 g cm⁻³
V = 120 Å³/cell

Cell: 4.4428 4.4428 7.0440 Å, 90.00 90.00 120.00°
Fractional coordinates of all 4 atoms:
Y 0.3333 0.6667 0.4735
Se 0.6667 0.3333 0.3220
Se 0.3333 0.6667 0.8607
Au 0.0000 0.0000 0.7989

No. 2
Here is a relaxed structure of MgOs2 from Alexandria via LeMat-Bulk. Energies are from PBE.

uncorrected energy = -7.784 eV per atom
size of the total moment = 0.000 μB per atom
symmetry = P-3m1 (164)
calculated formation energy = 0.234 eV/atom
crystal system = trigonal
calculated density = 14.5 g cm⁻³
V = 46 Å³/cell

Cell: 2.7948 2.7948 6.8312 Å, 90.00 90.00 120.00°
Fractional coordinates of all 3 atoms:
Mg 0.6667 0.3333 0.3333
Os 0.0000 0.0000 0.9837
Os 0.3333 0.6667 0.6830

No. 3
Here is a relaxed structure of Ce3TeH from Alexandria via LeMat-Bulk. Energies are from PBE.

uncorrected energy = -5.277 eV per atom
size of the total moment = 0.255 μB per atom
E above lowest polymorph = 0.99 eV per formula unit
symmetry = C2/m (12)
crystal system = monoclinic
calculated density = 7.2 g cm⁻³
V = 252 Å³/cell

Cell: 3.8902 7.8089 8.7717 Å, 101.56 89.99 104.42°
Site moments in Bohr magnetons follow the coordinates.
Fractional coordinates of all 10 atoms:
Ce 0.9806 0.9614 0.1873  0.14
Ce 0.0194 0.0386 0.8127  0.14
H 0.2174 0.4349 0.9119  0.00
Ce 0.3719 0.7437 0.0310  0.14
Ce 0.6281 0.2563 0.9690  0.14
H 0.7826 0.5651 0.0881  0.00
Te 0.6341 0.2685 0.3543  -0.01
Ce 0.8422 0.6840 0.3508  0.69
Te 0.3659 0.7315 0.6457  -0.01
Ce 0.1578 0.3160 0.6492  0.69

No. 4
Here is a relaxed structure of CaPdSe from Alexandria via LeMat-Bulk. Energies are from PBE.

uncorrected energy = -4.648 eV per atom
size of the total moment = 0.000 μB per atom
raw formation energy = -1.09 eV/atom
E above lowest polymorph = 0.22 eV per formula unit
symmetry = Pm (6)
crystal system = monoclinic
calculated density = 5.3 g cm⁻³
V = 142 Å³/cell

Cell: 4.6691 7.6266 4.0347 Å, 90.00 90.00 81.17°
Fractional coordinates of all 6 atoms:
Pd 0.3684 0.9415 0.1164
Ca 0.7630 0.1280 0.6164
Se 0.8941 0.8386 0.1164
Pd 0.1564 0.3148 0.1169
Se 0.6308 0.4172 0.1163
Ca 0.2633 0.6284 0.6164

No. 5
Here is a relaxed structure of Hf5Ti2Bi5 from Alexandria via LeMat-Bulk. Energies are from PBE.

uncorrected energy = -7.172 eV per atom
size of the total moment = 0.000 μB per atom
symmetry = C2/m (12)
calculated formation energy = -0.091 eV/atom
crystal system = monoclinic
calculated density = 12.0 g cm⁻³
V = 281 Å³/cell

Cell: 3.8557 7.4947 11.6015 Å, 118.91 90.00 104.91°
Fractional coordinates of all 12 atoms:
Ti 0.0602 0.1205 0.7750
Bi 0.8559 0.7118 0.5262
Hf 0.3834 0.7668 0.7475
Hf 0.5000 0.0000 0.5000
Bi 0.2886 0.5772 0.2382
Bi 0.7114 0.4228 0.7618
Ti 0.9398 0.8795 0.2250
Hf 0.6668 0.3335 0.0023
Hf 0.3332 0.6665 0.9977
Bi 0.1441 0.2882 0.4738
Bi 0.0000 0.0000 0.0000
Hf 0.6166 0.2332 0.2525

No. 6
Here is a relaxed structure of NaSrI2N from Alexandria via LeMat-Bulk. Energies are from PBE.

uncorrected energy = -3.026 eV per atom
size of the total moment = 0.416 μB per atom
raw formation energy = -0.14 eV/atom
E above lowest polymorph = 1.02 eV per formula unit
symmetry = P4/mmm (123)
crystal system = tetragonal
calculated density = 3.9 g cm⁻³
V = 163 Å³/cell

Cell: 5.9442 5.9442 4.6056 Å, 90.00 90.00 90.00°
Site moments in Bohr magnetons follow the coordinates.
Fractional coordinates of all 5 atoms:
I 0.5000 0.0000 0.0000  0.04
Na 0.0000 0.0000 0.0000  -0.01
Sr 0.5000 0.5000 0.5000  0.00
I 0.0000 0.5000 0.0000  0.04
N 0.0000 0.0000 0.5000  1.21

No. 7
Here is a relaxed structure of Ho2ZnCd8 from Alexandria via LeMat-Bulk. Energies are from PBE.

uncorrected energy = -1.799 eV per atom
size of the total moment = 0.000 μB per atom
symmetry = P4/mmm (123)
calculated formation energy = -0.186 eV/atom
crystal system = tetragonal
calculated density = 8.4 g cm⁻³
V = 256 Å³/cell

Cell: 4.5684 4.5684 12.2827 Å, 90.00 90.00 90.00°
Fractional coordinates of all 11 atoms:
Ho 0.0000 0.0000 0.3082
Cd 0.5000 0.5000 0.6932
Cd 0.5000 0.5000 0.3068
Zn 0.0000 0.0000 0.0000
Cd 0.0000 0.5000 0.1270
Cd 0.5000 0.0000 0.1270
Ho 0.0000 0.0000 0.6918
Cd 0.0000 0.5000 0.8730
Cd 0.5000 0.0000 0.5000
Cd 0.0000 0.5000 0.5000
Cd 0.5000 0.0000 0.8730

No. 8
Here is a relaxed structure of Li2HoTl2Ag2 from Alexandria via LeMat-Bulk. Energies are from PBE.

uncorrected energy = -2.859 eV per atom
size of the total moment = 0.000 μB per atom
symmetry = R-3m (166)
calculated formation energy = -0.167 eV/atom
crystal system = trigonal
calculated density = 9.0 g cm⁻³
V = 148 Å³/cell

Cell: 4.8569 4.8569 7.7486 Å, 71.74 71.74 60.00°
Fractional coordinates of all 7 atoms:
Tl 0.2707 0.2707 0.1880
Tl 0.7293 0.7293 0.8120
Li 0.8557 0.8557 0.4330
Li 0.1443 0.1443 0.5670
Ag 0.5684 0.5684 0.2947
Ag 0.4316 0.4316 0.7053
Ho 0.0000 0.0000 0.0000

No. 9
Here is a relaxed structure of ErZrH from Alexandria via LeMat-Bulk. Energies are from PBE.

uncorrected energy = -5.401 eV per atom
size of the total moment = 0.000 μB per atom
E above lowest polymorph = 0.81 eV per formula unit
symmetry = Cmcm (63)
crystal system = orthorhombic
calculated density = 7.0 g cm⁻³
V = 123 Å³/cell

Cell: 3.3642 5.5724 6.7723 Å, 90.00 104.38 90.00°
Fractional coordinates of all 6 atoms:
Er 0.5693 0.2500 0.1386
Zr 0.7095 0.7500 0.4191
Zr 0.2905 0.2500 0.5809
Er 0.4307 0.7500 0.8614
H 0.1473 0.2500 0.2945
H 0.8527 0.7500 0.7055

No. 10
Here is a relaxed structure of CeF from Alexandria via LeMat-Bulk. Energies are from PBE.

uncorrected energy = -6.122 eV per atom
size of the total moment = 0.439 μB per atom
raw formation energy = -2.22 eV/atom
symmetry = R-3m (166)
crystal system = trigonal
calculated density = 7.6 g cm⁻³
V = 70 Å³/cell

Cell: 3.3609 4.0538 5.2637 Å, 76.04 90.00 90.00°
Site moments in Bohr magnetons follow the coordinates.
Fractional coordinates of all 4 atoms:
Ce 0.2500 0.7501 0.7500  0.77
F 0.7500 0.2501 0.7501  -0.01
Ce 0.7500 0.2499 0.2500  0.77
F 0.2500 0.7499 0.2499  -0.01

No. 11
Here is a relaxed structure of AcCu9Ag2 from Alexandria via LeMat-Bulk. Energies are from PBE.

uncorrected energy = -3.934 eV per atom
size of the total moment = 0.000 μB per atom
symmetry = R-3m (166)
calculated formation energy = -0.045 eV/atom
crystal system = trigonal
calculated density = 9.2 g cm⁻³
V = 184 Å³/cell

Cell: 5.1438 5.1438 8.5460 Å, 72.49 72.49 60.00°
Fractional coordinates of all 12 atoms:
Cu 0.6666 0.6666 0.0002
Ac 0.0000 0.0000 0.0000
Ag 0.1466 0.1466 0.5603
Cu 0.5881 0.0826 0.7413
Cu 0.4119 0.9174 0.2587
Ag 0.8534 0.8534 0.4397
Cu 0.3334 0.3334 0.9998
Cu 0.5000 0.5000 0.5000
Cu 0.9174 0.4119 0.2587
Cu 0.5881 0.5881 0.7413
Cu 0.0826 0.5881 0.7413
Cu 0.4119 0.4119 0.2587

No. 12
Here is a relaxed structure of Be2ReOs2 from Alexandria via LeMat-Bulk. Energies are from PBE.

uncorrected energy = -8.571 eV per atom
size of the total moment = 0.000 μB per atom
E above lowest polymorph = 0.00 eV per formula unit
symmetry = P4/mbm (127)
calculated formation energy = -0.099 eV/atom
crystal system = tetragonal
calculated density = 16.7 g cm⁻³
V = 117 Å³/cell

Cell: 6.3492 6.3492 2.8927 Å, 90.00 90.00 90.00°
Fractional coordinates of all 10 atoms:
Os 0.6624 0.8376 0.5000
Be 0.8714 0.6286 0.0000
Os 0.1624 0.6624 0.5000
Os 0.8376 0.3376 0.5000
Os 0.3376 0.1624 0.5000
Re 0.5000 0.5000 0.0000
Be 0.3714 0.8714 0.0000
Be 0.6286 0.1286 0.0000
Be 0.1286 0.3714 0.0000
Re 0.0000 0.0000 0.0000